[1]
Here is IrS2Br after structural relaxation from the Alexandria database. Energies are from PBE.

Geometry as POSCAR:
```
IrS2Br
1.0
-0.607 2.391 2.574
6.429 -4.123 5.156
4.537 2.944 -1.798
Br S Ir
2 4 2
direct
0.297 0.124 0.634
0.544 0.728 0.413
0.812 0.225 0.092
0.309 0.472 0.748
0.838 0.727 0.968
0.829 0.411 0.263
0.336 0.570 0.096
0.805 0.319 0.695
```

## Properties
Its crystal system is triclinic. For the uncorrected formation energy, the calculation gives -186 meV per atom. Its energy above the most stable polymorph in this dataset is 59 meV per atom. Its final energy is -39.06 eV/cell.

---

[2]
Here is IrSe2SBr after structural relaxation from the Alexandria database. Energies are from PBE.

Geometry as POSCAR:
```
IrSe2SBr
1.0
4.858 0.000 0.000
0.000 4.858 0.000
0.000 0.000 4.767
S Se Ir Br
1 2 1 1
direct
0.000 0.000 0.000
0.000 0.500 0.000
0.500 0.000 0.000
0.500 0.500 0.500
0.000 0.000 0.500
```

## Properties
Its crystal system is tetragonal. For the uncorrected formation energy, the calculation gives 1345 meV per atom. Its energy above the most stable polymorph in this dataset is 598 meV per atom. Its final energy is -14.90 eV/cell.

---

[3]
Here is IrSe2SBr after structural relaxation from the Alexandria database. Energies are from PBE.

Geometry as POSCAR:
```
IrSe2SBr
1.0
-0.226 -4.191 2.451
4.025 -1.534 -2.252
2.828 2.005 3.689
Br S Se Ir
1 1 2 1
direct
0.000 0.000 0.500
0.500 0.500 0.500
0.000 0.500 0.000
0.500 0.000 0.000
0.000 0.000 0.000
```

## Properties
Its crystal system is tetragonal. For the uncorrected formation energy, the calculation gives 747 meV per atom. Its energy above the most stable polymorph in this dataset is 0 meV per atom. Its final energy is -17.90 eV/cell.

---

[4]
Here is Sm6Ir2SBr3 after structural relaxation from the Alexandria database. Energies are from PBE.

Geometry as POSCAR:
```
Sm6Ir2SBr3
1.0
-6.121 2.903 2.490
0.473 -7.136 -0.969
4.369 0.607 6.569
Sm Ir S Br
6 2 1 3
direct
0.716 0.716 0.195
0.586 0.934 0.804
0.284 0.284 0.805
0.934 0.586 0.804
0.414 0.066 0.196
0.066 0.414 0.196
0.333 0.667 0.000
0.667 0.333 0.000
0.000 0.000 0.000
0.162 0.838 0.500
0.500 0.500 0.500
0.838 0.162 0.500
```

## Properties
Its crystal system is monoclinic. For the uncorrected formation energy, the calculation gives -1260 meV per atom. Its final energy is -70.31 eV/cell.

---

[5]
Here is Tb6Ir2SBr3 after structural relaxation from the Alexandria database. Energies are from PBE.

Geometry as POSCAR:
```
Tb6Ir2SBr3
1.0
-3.862 -4.771 3.608
-0.981 0.809 -7.005
6.768 -3.878 -0.202
Tb Ir Br S
6 2 3 1
direct
0.935 0.586 0.806
0.065 0.414 0.194
0.285 0.285 0.807
0.715 0.715 0.193
0.586 0.935 0.806
0.414 0.065 0.194
0.333 0.667 0.000
0.667 0.333 0.000
0.160 0.840 0.500
0.840 0.160 0.500
0.500 0.500 0.500
0.000 0.000 0.000
```

## Properties
Its crystal system is monoclinic. For the uncorrected formation energy, the calculation gives -1258 meV per atom. Its final energy is -69.74 eV/cell.

---

[6]
Here is ZrIr2SBr after structural relaxation from the Alexandria database. Energies are from PBE.

Geometry as POSCAR:
```
ZrIr2SBr
1.0
4.590 0.000 0.000
0.000 5.086 0.000
0.000 0.000 4.590
S Ir Zr Br
1 2 1 1
direct
0.500 0.500 0.500
0.000 0.000 0.500
0.500 0.000 0.000
0.000 0.500 0.000
0.000 0.000 0.000
```

## Properties
Its crystal system is tetragonal. For the uncorrected formation energy, the calculation gives 1339 meV per atom. Its final energy is -25.37 eV/cell.

---

[7]
Here is Sb2IrBr after structural relaxation from the Alexandria database. Energies are from PBE.

Geometry as POSCAR:
```
Sb2IrBr
1.0
-3.502 5.912 -3.897
3.134 -7.137 -1.284
-2.226 -0.586 2.727
Sb Br Ir
2 1 1
direct
0.243 0.757 0.500
0.923 0.077 0.000
0.541 0.459 0.000
0.793 0.207 0.500
```

## Properties
Its crystal system is monoclinic. For the uncorrected formation energy, the calculation gives 32 meV per atom. Its energy above the most stable polymorph in this dataset is 288 meV per atom. Its final energy is -18.65 eV/cell.

---

[8]
Here is Sb4IrBr after structural relaxation from the Alexandria database. Energies are from PBE.

Geometry as POSCAR:
```
Sb4IrBr
1.0
-4.870 2.440 2.720
-2.677 4.919 -2.391
-5.491 -0.478 -2.588
Sb Ir Br
4 1 1
direct
0.376 0.873 0.376
0.376 0.376 0.376
0.873 0.376 0.376
0.376 0.376 0.873
0.000 0.000 0.000
0.750 0.750 0.750
```

## Properties
Its crystal system is cubic. For the uncorrected formation energy, the calculation gives 892 meV per atom. Its final energy is -21.67 eV/cell.

---

[9]
Here is Sb2IrBr after structural relaxation from the Alexandria database. Energies are from PBE.

Geometry as POSCAR:
```
Sb2IrBr
1.0
6.605 0.000 0.000
0.000 6.605 0.000
3.303 3.303 6.189
Br Ir Sb
2 2 4
direct
0.500 0.500 0.000
0.250 0.750 0.500
0.000 0.000 0.000
0.750 0.250 0.500
0.875 0.963 0.750
0.037 0.625 0.250
0.713 0.125 0.250
0.375 0.287 0.750
```

## Properties
Its crystal system is tetragonal. For the uncorrected formation energy, the calculation gives 63 meV per atom. Its energy above the most stable polymorph in this dataset is 319 meV per atom. Its final energy is -37.06 eV/cell.

---

[10]
Here is SbIr3Br after structural relaxation from the Alexandria database. Energies are from PBE.

Geometry as POSCAR:
```
SbIr3Br
1.0
-3.287 -3.216 1.822
2.872 -0.686 3.969
-2.328 3.695 2.323
Ir Sb Br
3 1 1
direct
0.000 0.500 0.000
0.000 0.000 0.500
0.500 0.000 0.000
0.000 0.000 0.000
0.500 0.500 0.500
```

## Properties
Its crystal system is cubic. For the uncorrected formation energy, the calculation gives 1844 meV per atom. Its energy above the most stable polymorph in this dataset is 145 meV per atom. Its final energy is -23.16 eV/cell.

---

[11]
Here is Sb2IrBr after structural relaxation from the Alexandria database. Energies are from PBE.

Geometry as POSCAR:
```
Sb2IrBr
1.0
-2.324 3.346 2.875
-1.231 -3.100 2.613
3.541 0.508 2.271
Br Sb Ir
1 2 1
direct
0.500 0.500 0.000
0.000 0.000 0.000
0.000 0.500 0.500
0.500 0.000 0.500
```

## Properties
Its crystal system is tetragonal. For the uncorrected formation energy, the calculation gives 772 meV per atom. Its energy above the most stable polymorph in this dataset is 1029 meV per atom. Its final energy is -15.69 eV/cell.

---

[12]
Here is Sb2IrBr after structural relaxation from the Alexandria database. Energies are from PBE.

Geometry as POSCAR:
```
Sb2IrBr
1.0
-0.189 2.809 1.636
-3.112 -0.629 0.724
2.564 -4.147 7.415
Sb Ir Br
2 1 1
direct
0.000 0.000 0.935
0.500 0.500 0.245
0.500 0.500 0.771
0.000 0.000 0.549
```

## Properties
Its crystal system is tetragonal. For the uncorrected formation energy, the calculation gives 350 meV per atom. Its energy above the most stable polymorph in this dataset is 607 meV per atom. Its final energy is -17.38 eV/cell.

---

[13]
Here is Sb2IrBr after structural relaxation from the Alexandria database. Energies are from PBE.

Geometry as POSCAR:
```
Sb2IrBr
1.0
-2.962 0.990 -1.908
2.756 -1.114 -4.857
-0.090 -5.110 -2.512
Sb Ir Br
2 1 1
direct
0.000 0.944 0.944
0.500 0.233 0.233
0.500 0.768 0.768
0.000 0.555 0.555
```

## Properties
Its crystal system is orthorhombic. For the uncorrected formation energy, the calculation gives 71 meV per atom. Its energy above the most stable polymorph in this dataset is 327 meV per atom. Its final energy is -18.50 eV/cell.

---

[14]
Here is Sb2IrBr after structural relaxation from the Alexandria database. Energies are from PBE.

Geometry as POSCAR:
```
Sb2IrBr
1.0
3.375 0.033 0.000
-0.034 3.376 0.000
0.000 0.000 8.077
Sb Br Ir
2 1 1
direct
0.000 0.000 0.949
0.000 0.000 0.551
0.500 0.500 0.250
0.500 0.500 0.750
```

## Properties
Its crystal system is tetragonal. For the uncorrected formation energy, the calculation gives -17 meV per atom. Its energy above the most stable polymorph in this dataset is 239 meV per atom. Its final energy is -18.85 eV/cell.